Entry 1:
VASP calculation (GGA-PBE) on an optimized crystal structure of NaEu2Y.

The value obtained for the magnetization is 14.734 μB/cell. Its distance to the lowest polymorph of the same formula is 79.1 meV/atom. The calculation puts the calculated volume at 151.4 Å³ per cell. Its formation energy is 0.168 eV/atom.

Cell and atoms, written as CIF:
```
data_NaEu2Y
_cell_length_a 6.2021
_cell_length_b 6.2021
_cell_length_c 3.9366
_cell_angle_alpha 90.00
_cell_angle_beta 90.00
_cell_angle_gamma 90.00
_space_group_name_H-M_alt 'P 4/m m m'
_space_group_IT_number 123
_space_group_name_Hall '-P 4 2'
loop_
_atom_site_label
_atom_site_fract_x
_atom_site_fract_y
_atom_site_fract_z
Na1 0.0000 0.0000 0.0000
Eu1 0.0000 0.5000 0.5000
Y1 0.5000 0.5000 0.0000
```

Entry 2:
VASP calculation (GGA-PBE) on an optimized crystal structure of NaEuY.

The value obtained for the magnetization is 15.622 μB/cell. Its distance to the lowest polymorph of the same formula is 23.3 meV/atom. The calculation puts the calculated volume at 220.2 Å³ per cell. Its formation energy is 0.176 eV/atom.

Cell and atoms, written as CIF:
```
data_NaEuY
_cell_length_a 3.6383
_cell_length_b 3.6383
_cell_length_c 16.6331
_cell_angle_alpha 90.00
_cell_angle_beta 90.00
_cell_angle_gamma 90.00
_space_group_name_H-M_alt 'I 4 m m'
_space_group_IT_number 107
_space_group_name_Hall 'I 4 -2'
loop_
_atom_site_label
_atom_site_fract_x
_atom_site_fract_y
_atom_site_fract_z
Na1 0.0000 0.0000 0.0000
Eu1 0.0000 0.0000 0.6782
Y1 0.0000 0.0000 0.3367
```

Entry 3:
VASP calculation (GGA-PBE) on an optimized crystal structure of NaEu2Y.

The value obtained for the magnetization is 15.703 μB/cell. Its distance to the lowest polymorph of the same formula is 8.1 meV/atom. The calculation puts the calculated volume at 154.5 Å³ per cell. Its formation energy is 0.097 eV/atom.

Cell and atoms, written as CIF:
```
data_NaEu2Y
_cell_length_a 3.7242
_cell_length_b 3.7242
_cell_length_c 11.1379
_cell_angle_alpha 90.00
_cell_angle_beta 90.00
_cell_angle_gamma 90.00
_space_group_name_H-M_alt 'P 4/m m m'
_space_group_IT_number 123
_space_group_name_Hall '-P 4 2'
loop_
_atom_site_label
_atom_site_fract_x
_atom_site_fract_y
_atom_site_fract_z
Na1 0.0000 0.0000 0.0000
Eu1 0.5000 0.5000 0.2618
Y1 0.0000 0.0000 0.5000
```

Entry 4:
VASP calculation (GGA-PBE) on an optimized crystal structure of NaEuZn2.

The value obtained for the magnetization is 21.746 μB/cell. Its distance to the lowest polymorph of the same formula is 153.9 meV/atom. The calculation puts the calculated volume at 342.2 Å³ per cell. Its formation energy is 0.092 eV/atom.

Cell and atoms, written as CIF:
```
data_NaEuZn2
_cell_length_a 3.9121
_cell_length_b 3.9121
_cell_length_c 25.8157
_cell_angle_alpha 90.00
_cell_angle_beta 90.00
_cell_angle_gamma 120.00
_space_group_name_H-M_alt 'R -3 m'
_space_group_IT_number 166
_space_group_name_Hall '-R 3 2"'
loop_
_atom_site_label
_atom_site_fract_x
_atom_site_fract_y
_atom_site_fract_z
Na1 0.0000 0.0000 0.0000
Eu1 0.0000 0.0000 0.5000
Zn1 0.0000 0.0000 0.2521
```

Entry 5:
VASP calculation (GGA-PBE) on an optimized crystal structure of Na2EuZn.

The value obtained for the magnetization is 23.477 μB/cell. The calculation puts the calculated volume at 397.7 Å³ per cell. Its formation energy is 0.217 eV/atom.

Cell and atoms, written as CIF:
```
data_Na2EuZn
_cell_length_a 3.5780
_cell_length_b 3.5780
_cell_length_c 35.8714
_cell_angle_alpha 90.00
_cell_angle_beta 90.00
_cell_angle_gamma 120.00
_space_group_name_H-M_alt 'R -3 m'
_space_group_IT_number 166
_space_group_name_Hall '-R 3 2"'
loop_
_atom_site_label
_atom_site_fract_x
_atom_site_fract_y
_atom_site_fract_z
Na1 0.0000 0.0000 0.0998
Eu1 0.0000 0.0000 0.0000
Zn1 0.0000 0.0000 0.5000
```

Entry 6:
VASP calculation (GGA-PBE) on an optimized crystal structure of NaEuZn2.

The value obtained for the magnetization is 30.662 μB/cell. Its distance to the lowest polymorph of the same formula is 0.0 meV/atom. The calculation puts the calculated volume at 395.3 Å³ per cell. Its formation energy is -0.062 eV/atom.

Cell and atoms, written as CIF:
```
data_NaEuZn2
_cell_length_a 7.3392
_cell_length_b 7.3392
_cell_length_c 7.3392
_cell_angle_alpha 90.00
_cell_angle_beta 90.00
_cell_angle_gamma 90.00
_space_group_name_H-M_alt 'F m -3 m'
_space_group_IT_number 225
_space_group_name_Hall '-F 4 2 3'
loop_
_atom_site_label
_atom_site_fract_x
_atom_site_fract_y
_atom_site_fract_z
Na1 0.0000 0.0000 0.0000
Eu1 0.0000 0.0000 0.5000
Zn1 0.2500 0.2500 0.2500
```

Entry 7:
VASP calculation (GGA-PBE) on an optimized crystal structure of NaEuZn2.

The value obtained for the magnetization is 7.165 μB/cell. Its distance to the lowest polymorph of the same formula is 9.3 meV/atom. The calculation puts the calculated volume at 100.5 Å³ per cell. Its formation energy is -0.052 eV/atom.

Cell and atoms, written as CIF:
```
data_NaEuZn2
_cell_length_a 3.6789
_cell_length_b 3.6789
_cell_length_c 7.4286
_cell_angle_alpha 90.00
_cell_angle_beta 90.00
_cell_angle_gamma 90.00
_space_group_name_H-M_alt 'P 4/m m m'
_space_group_IT_number 123
_space_group_name_Hall '-P 4 2'
loop_
_atom_site_label
_atom_site_fract_x
_atom_site_fract_y
_atom_site_fract_z
Na1 0.0000 0.0000 0.0000
Eu1 0.0000 0.0000 0.5000
Zn1 0.5000 0.5000 0.2458
```

Entry 8:
VASP calculation (GGA-PBE) on an optimized crystal structure of EuNbO4.

For the uncorrected formation energy, the calculation gives -2.7245 eV per atom. The value obtained for the magnetization is 23.994 μB/cell. The calculation puts the calculated volume at 322.8 Å³ per cell.

Cell and atoms, written as CIF:
```
data_EuNbO4
_cell_length_a 7.2940
_cell_length_b 11.3069
_cell_length_c 5.2118
_cell_angle_alpha 90.00
_cell_angle_beta 131.33
_cell_angle_gamma 90.00
_space_group_name_H-M_alt 'C 1 2/c 1'
_space_group_IT_number 15
loop_
_space_group_symop_operation_xyz
'x,y,z'
'-x,-y,-z'
'-x,y,-z+1/2'
'x,-y,z+1/2'
'x+1/2,y+1/2,z'
'-x+1/2,-y+1/2,-z'
'-x+1/2,y+1/2,-z+1/2'
'x+1/2,-y+1/2,z+1/2'
loop_
_atom_site_label
_atom_site_fract_x
_atom_site_fract_y
_atom_site_fract_z
Eu1 0.0000 0.1282 0.2500
Nb1 0.0000 0.3933 0.7500
O1 0.1557 0.2904 0.6628
O2 0.2415 0.4690 0.1939
```